The following is a DFT calculation (GGA-PBE) of a geometry-optimized MgCrIrOs structure.

Computed properties:
ΔE_f   0.0159 eV/atom
DOS(E_F)   17.63 states/eV per cell
Size of the total moment   1.12 μB per formula unit
Theoretical density   13.591 Mg/m³

Cell lengths 6.0749, 6.0749, 6.0749 Å; angles 90.00, 90.00, 90.00 degrees
With the nearest neighbours (Å) after each atom.
Space group F-43m (No. 216)
One atom of each set of equivalent atoms:
1 Mg 0.0000 0.0000 0.0000 [4 per cell]  4 Os 2.63, 4 Ir 2.63
2 Cr 0.0000 0.0000 0.5000 [4 per cell]  4 Os 2.63, 4 Ir 2.63
3 Ir 0.2500 0.2500 0.7500 [4 per cell]  4 Cr 2.63, 4 Mg 2.63
4 Os 0.2500 0.2500 0.2500 [4 per cell]  4 Cr 2.63, 4 Mg 2.63